{
  "formula": "NiSnSeBr2",
  "functional": "PBE",
  "state": "optimized geometry",
  "spacegroup": "P4/mmm, No. 123",
  "polymorph_energy_mev_per_atom": 621,
  "e_form_raw_ev_per_atom": 0.482,
  "cell": [[5.4950, 0.0000, 0.0000], [0.0000, 5.4950, 0.0000], [0.0000, 0.0000, 5.4264]],
  "species": ["Ni", "Sn", "Se", "Br", "Br"],
  "frac_coords": [[0.0000, 0.0000, 0.0000], [0.5000, 0.5000, 0.5000], [0.5000, 0.5000, 0.0000], [0.0000, 0.5000, 0.5000], [0.5000, 0.0000, 0.5000]]
}